(1)
Entry from OQMD via LeMat-Bulk: an optimized crystal structure of HfBePb (PBE).

Lattice parameters (Å, degrees): 4.5833 4.5833 4.5833 60.00 60.00 60.00
Atoms (fractional coordinates):
Pb 0.0000 0.0000 0.0000
Hf 0.7500 0.7500 0.7500
Be 0.2500 0.2500 0.2500

Crystal system ... cubic
SG ... No. 216
E_tot ... -4.883 eV per atom

***

(2)
Entry from OQMD via LeMat-Bulk: an optimized crystal structure of PaNbPO (PBE).

Lattice parameters (Å, degrees): 3.9381 3.9381 8.8302 90.00 90.00 90.00
Atoms (fractional coordinates):
Pa 0.5000 0.0000 0.8456
Pa 0.0000 0.5000 0.1544
Nb 0.5000 0.5000 0.5000
Nb 0.0000 0.0000 0.5000
P 0.0000 0.5000 0.6928
P 0.5000 0.0000 0.3072
O 0.0000 0.0000 0.0000
O 0.5000 0.5000 0.0000

Crystal system ... tetragonal
SG ... No. 129
E_tot ... -8.897 eV per atom

***

(3)
Entry from OQMD via LeMat-Bulk: an optimized crystal structure of NaGdCdTe3 (PBE).

Lattice parameters (Å, degrees): 8.6769 4.4206 10.7068 90.00 104.87 90.00
Atoms (fractional coordinates):
Te 0.7392 0.2500 0.4594
Te 0.9352 0.7500 0.1381
Te 0.2608 0.7500 0.5406
Te 0.0648 0.2500 0.8619
Te 0.5642 0.2500 0.8450
Te 0.4358 0.7500 0.1550
Na 0.7725 0.7500 0.7423
Na 0.2275 0.2500 0.2577
Gd 0.6810 0.2500 0.1421
Gd 0.3190 0.7500 0.8579
Cd 0.0831 0.2500 0.6051
Cd 0.9169 0.7500 0.3949

Crystal system ... monoclinic
SG ... No. 11
E_tot ... -3.683 eV per atom

***

(4)
Entry from OQMD via LeMat-Bulk: an optimized crystal structure of Hf4TlB3 (PBE).

Lattice parameters (Å, degrees): 3.4225 3.4225 26.4509 90.00 90.00 120.00
Atoms (fractional coordinates):
Hf 0.6667 0.3333 0.5543
Hf 0.6667 0.3333 0.9457
Hf 0.0000 0.0000 0.8468
Hf 0.0000 0.0000 0.6532
Hf 0.0000 0.0000 0.3468
Hf 0.3333 0.6667 0.4457
Hf 0.3333 0.6667 0.0543
Hf 0.0000 0.0000 0.1532
Tl 0.6667 0.3333 0.7500
Tl 0.3333 0.6667 0.2500
B 0.3333 0.6667 0.6076
B 0.3333 0.6667 0.8924
B 0.0000 0.0000 0.5000
B 0.6667 0.3333 0.1076
B 0.6667 0.3333 0.3924
B 0.0000 0.0000 0.0000

Crystal system ... hexagonal
SG ... No. 194
E_tot ... -8.191 eV per atom